# 1
Compound: Rb2Ce2US6
Source: the Alexandria database
Functional: GGA-PBE
Structure: relaxed

Crystal system: monoclinic
DOS(E_F) (states/eV per atom): 1.562

Cell lengths 7.157, 7.157, 8.194 Å; angles 98.51, 98.51, 119.69 degrees
Positions (direct):
1 Rb 0.169 0.831 0.000
2 Rb 0.831 0.169 0.000
3 Ce 0.334 0.666 0.500
4 Ce 0.666 0.334 0.500
5 U 0.000 0.000 0.500
6 S 0.060 0.386 0.686
7 S 0.256 0.256 0.313
8 S 0.386 0.060 0.686
9 S 0.614 0.940 0.314
10 S 0.744 0.744 0.687
11 S 0.940 0.614 0.314


# 2
Compound: RbNdSiO4
Source: the Alexandria database
Functional: GGA-PBE
Structure: relaxed

Crystal system: monoclinic
DOS(E_F) (states/eV per atom): 0.000

Cell lengths 5.809, 5.747, 7.697 Å; angles 90.00, 105.86, 90.00 degrees
Positions (direct):
1 Rb 0.195 0.250 0.427
2 Rb 0.805 0.750 0.573
3 Nd 0.276 0.250 0.952
4 Nd 0.724 0.750 0.048
5 Si 0.260 0.750 0.163
6 Si 0.740 0.250 0.837
7 O 0.083 0.750 0.295
8 O 0.087 0.750 0.952
9 O 0.445 0.525 0.184
10 O 0.445 0.975 0.184
11 O 0.555 0.025 0.816
12 O 0.555 0.475 0.816
13 O 0.913 0.250 0.048
14 O 0.917 0.250 0.705


# 3
Compound: Cu2PSe
Source: the Alexandria database
Functional: GGA-PBE
Structure: relaxed

Crystal system: tetragonal
DOS(E_F) (states/eV per atom): 0.824

Cell lengths 6.351, 6.351, 6.351 Å; angles 128.52, 128.52, 75.79 degrees
Positions (direct):
1 Cu 0.103 0.625 0.978
2 Cu 0.375 0.353 0.478
3 Cu 0.647 0.125 0.022
4 Cu 0.875 0.897 0.522
5 P 0.000 0.000 0.000
6 P 0.750 0.250 0.500
7 Se 0.250 0.750 0.500
8 Se 0.500 0.500 0.000


Number 1: M_tot 0.3637 μB per atom, ΔE_f (raw) -1.684 eV/atom. Number 2: M_tot 0.0000 μB per atom, ΔE_f (raw) -2.838 eV/atom. Number 3: M_tot 0.0000 μB per atom, ΔE_f (raw) 0.085 eV/atom.